The following is a DFT calculation (PBE) of a geometry-optimized Lu2CuTe structure.

Values from the calculation:
total energy	-4.709	eV per atom
uncorrected formation energy	-0.6393	eV per atom

abc: 7.6110 7.6110 7.6110
angles: 30.44 30.44 30.44
Fractional positions:
Lu1 0.2393 0.2393 0.2393
Lu2 0.7607 0.7607 0.7607
Cu1 0.5000 0.5000 0.5000
Te1 0.0000 0.0000 0.0000

The following is a DFT calculation (PBE) of a geometry-optimized LuCuTe2 structure.

Values from the calculation:
total energy	-4.492	eV per atom
uncorrected formation energy	-0.7673	eV per atom

abc: 4.2045 4.2045 6.6370
angles: 90.00 90.00 120.00
Fractional positions:
Lu1 0.0000 0.0000 0.0000
Cu1 0.0000 0.0000 0.5000
Te1 0.3333 0.6667 0.2727
Te2 0.6667 0.3333 0.7273

The following is a DFT calculation (PBE) of a geometry-optimized Lu2ThCu structure.

Values from the calculation:
energy relative to the elements	-43	kJ/mol of formula units
energy above the lowest structure with this stoichiometry	0.000	eV per atom
total energy	-5.252	eV per atom

abc: 3.4322 3.4322 8.5665
angles: 90.00 90.00 90.00
Fractional positions:
Lu1 0.0000 0.0000 0.1951
Lu2 0.0000 0.0000 0.8049
Th1 0.5000 0.5000 0.5000
Cu1 0.5000 0.5000 0.0000

The following is a DFT calculation (PBE) of a geometry-optimized LuThCu structure.

Values from the calculation:
energy relative to the elements	36	kJ/mol of formula units
energy above the lowest structure with this stoichiometry	0.203	eV per atom
total energy	-5.222	eV per atom

abc: 4.8264 4.8264 3.7406
angles: 90.00 90.00 120.00
Fractional positions:
Lu1 0.0000 0.0000 0.0000
Th1 0.6667 0.3333 0.5033
Cu1 0.3333 0.6667 0.0337

The following is a DFT calculation (PBE) of a geometry-optimized Lu2ThCu structure.

Values from the calculation:
energy relative to the elements	7	kJ/mol of formula units
energy above the lowest structure with this stoichiometry	0.129	eV per atom
total energy	-5.122	eV per atom

abc: 9.8337 9.8337 9.8337
angles: 20.85 20.85 20.85
Fractional positions:
Lu1 0.2337 0.2337 0.2337
Lu2 0.7663 0.7663 0.7663
Th1 0.0000 0.0000 0.0000
Cu1 0.5000 0.5000 0.5000

The following is a DFT calculation (PBE) of a geometry-optimized LuTh2Cu structure.

Values from the calculation:
energy relative to the elements	5	kJ/mol of formula units
total energy	-5.851	eV per atom

abc: 3.5255 3.5255 8.7656
angles: 90.00 90.00 90.00
Fractional positions:
Lu1 0.0000 0.0000 0.0000
Th1 0.5000 0.5000 0.2903
Th2 0.5000 0.5000 0.7097
Cu1 0.0000 0.0000 0.5000

The following is a DFT calculation (PBE) of a geometry-optimized LuThCu structure.

Values from the calculation:
energy relative to the elements	-23	kJ/mol of formula units
energy above the lowest structure with this stoichiometry	0.000	eV per atom
total energy	-5.425	eV per atom

abc: 6.6177 6.6177 6.6177
angles: 149.69 149.69 43.40
Fractional positions:
Lu1 0.0000 0.0000 0.0000
Th1 0.7086 0.7086 0.0000
Cu1 0.3702 0.3702 0.0000

The following is a DFT calculation (PBE) of a geometry-optimized LuThZnCu structure.

Values from the calculation:
energy relative to the elements	-68	kJ/mol of formula units
total energy	-4.505	eV per atom

abc: 5.0243 5.0243 5.0243
angles: 60.00 60.00 60.00
Fractional positions:
Lu1 0.0000 0.0000 0.0000
Th1 0.5000 0.5000 0.5000
Zn1 0.7500 0.7500 0.7500
Cu1 0.2500 0.2500 0.2500

So what do the calculations give for volume? Going down the list: 100.3 101.6 100.9 75.5 105.4 108.9 73.6 89.7 Å³ per cell.